Record 1
## CaAl2Ag2 (SCAN)

Data for a crystal of CaAl2Ag2 relaxed with PBEsol.

Summary:
**Formation enthalpy at 0 K**: -0.32 eV/atom
**Total magnetic moment**: 0.018 μB/f.u.

Cell and atoms, written as POSCAR:
```
CaAl2Ag2
1.0
-3.701 1.810 0.414
0.292 -0.344 4.116
4.315 4.546 -2.009
Ca Al Ag
1 2 2
direct
0.000 0.000 0.000 Ca
0.250 0.750 0.500 Al
0.750 0.250 0.500 Al
0.385 0.385 0.770 Ag
0.615 0.615 0.230 Ag
```

Record 2
## CaAlAg (SCAN)

Data for a crystal of CaAlAg relaxed with PBEsol.

Summary:
**Formation enthalpy at 0 K**: -0.32 eV/atom
**Total magnetic moment**: 0.002 μB/f.u.

Cell and atoms, written as POSCAR:
```
CaAlAg
1.0
3.572 0.000 0.000
0.000 4.617 0.000
0.000 -2.308 3.998
Ca Al Ag
1 1 1
direct
0.500 0.667 0.333 Ca
0.000 0.333 0.667 Al
0.000 0.000 0.000 Ag
```

Record 3
## Ca2AlCuAg (SCAN)

Data for a crystal of Ca2AlCuAg relaxed with PBEsol.

Summary:
**Formation enthalpy at 0 K**: 0.20 eV/atom
**Total magnetic moment**: 0.000 μB/f.u.

Cell and atoms, written as POSCAR:
```
Ca2AlCuAg
1.0
4.720 0.000 0.000
0.000 5.273 0.000
0.000 0.000 5.273
Ca Cu Ag Al
2 1 1 1
direct
0.000 0.000 0.500 Ca
0.000 0.500 0.000 Ca
0.000 0.000 0.000 Cu
0.500 0.000 0.000 Ag
0.500 0.500 0.500 Al
```

Record 4
## CaAl2NiAg (SCAN)

Data for a crystal of CaAl2NiAg relaxed with PBEsol.

Summary:
**Formation enthalpy at 0 K**: 0.30 eV/atom
**Total magnetic moment**: 0.000 μB/f.u.

Cell and atoms, written as POSCAR:
```
CaAl2NiAg
1.0
4.693 0.000 0.000
0.000 4.693 0.000
0.000 0.000 4.858
Ni Ca Al Ag
1 1 2 1
direct
0.000 0.000 0.500 Ni
0.500 0.500 0.500 Ca
0.000 0.500 0.000 Al
0.500 0.000 0.000 Al
0.000 0.000 0.000 Ag
```

Record 5
## Al2CdAg (SCAN)

Data for a crystal of Al2CdAg relaxed with PBEsol.

Summary:
**Formation enthalpy at 0 K**: 0.02 eV/atom
**Total magnetic moment**: 0.000 μB/f.u.

Cell and atoms, written as POSCAR:
```
Al2CdAg
1.0
3.068 0.000 0.000
0.000 4.865 0.005
0.000 -1.845 4.672
Al Ag Cd
2 1 1
direct
0.000 0.000 0.000 Al
0.500 0.000 0.500 Al
0.000 0.500 0.500 Ag
0.500 0.500 0.000 Cd
```

Record 6
## AlCdAg (SCAN)

Data for a crystal of AlCdAg relaxed with PBEsol.

Summary:
**Offset from the most stable computed form**: 0 meV/atom
**Formation enthalpy at 0 K**: -0.01 eV/atom
**Total magnetic moment**: 0.000 μB/f.u.

Cell and atoms, written as POSCAR:
```
AlCdAg
1.0
2.986 0.000 0.000
-1.493 2.586 0.000
0.000 0.000 6.855
Al Ag Cd
1 1 1
direct
0.333 0.667 0.681 Al
0.000 0.000 0.987 Ag
0.667 0.333 0.332 Cd
```

Record 7
## AlCd2Ag (SCAN)

Data for a crystal of AlCd2Ag relaxed with PBEsol.

Summary:
**Formation enthalpy at 0 K**: 0.00 eV/atom
**Total magnetic moment**: 0.000 μB/f.u.

Cell and atoms, written as POSCAR:
```
AlCd2Ag
1.0
-0.631 -2.912 -0.371
2.017 -1.823 -1.274
4.132 -3.456 7.944
Al Ag Cd
1 1 2
direct
0.245 0.245 0.265 Al
0.504 0.504 0.487 Ag
0.996 0.996 0.011 Cd
0.754 0.754 0.738 Cd
```

Record 8
## AlCdAg2 (SCAN)

Data for a crystal of AlCdAg2 relaxed with PBEsol.

Summary:
**Formation enthalpy at 0 K**: -0.03 eV/atom
**Total magnetic moment**: 0.000 μB/f.u.

Cell and atoms, written as POSCAR:
```
AlCdAg2
1.0
3.464 0.000 0.000
0.000 3.464 0.000
0.000 0.000 5.772
Al Ag Cd
1 2 1
direct
0.000 0.000 0.477 Al
0.000 0.000 0.004 Ag
0.500 0.500 0.262 Ag
0.500 0.500 0.758 Cd
```